[1]
DFT (SCAN) results for a crystal of RbZnHg3 relaxed with PBEsol.

E = -47.93 eV per atom
Energy of formation = -0.184 eV per atom

abc: 5.269 5.269 5.269
angles: 90.00 90.00 90.00
Positions (direct):
Rb1 0.000 0.000 0.000
Zn1 0.500 0.500 0.500
Hg1 0.000 0.500 0.500
Hg2 0.500 0.000 0.500
Hg3 0.500 0.500 0.000

***

[2]
DFT (SCAN) results for a crystal of Rb3ZrHg relaxed with PBEsol.

E = -31.29 eV per atom
Energy of formation = 0.923 eV per atom

abc: 6.897 6.897 6.897
angles: 90.00 90.00 90.00
Positions (direct):
Rb1 0.000 0.000 0.500
Rb2 0.000 0.500 0.000
Rb3 0.500 0.000 0.000
Zr1 0.000 0.000 0.000
Hg1 0.500 0.500 0.500

***

[3]
DFT (SCAN) results for a crystal of ReHg3 relaxed with PBEsol.

E = -68.34 eV per atom
Energy of formation = 0.563 eV per atom

abc: 7.449 7.449 4.876
angles: 90.98 90.98 21.56
Positions (direct):
Re1 0.000 0.000 0.000
Hg1 0.336 0.336 0.998
Hg2 0.500 0.500 0.500
Hg3 0.664 0.664 0.002

***

[4]
DFT (SCAN) results for a crystal of Re4Hg relaxed with PBEsol.

E = -69.97 eV per atom
Energy of formation = 0.542 eV per atom

abc: 6.266 6.266 6.266
angles: 142.75 142.75 53.70
Positions (direct):
Re1 0.114 0.114 0.000
Re2 0.250 0.750 0.500
Re3 0.750 0.250 0.500
Re4 0.886 0.886 0.000
Hg1 0.500 0.500 0.000

***

[5]
DFT (SCAN) results for a crystal of Re4Hg relaxed with PBEsol.

E = -70.03 eV per atom
Energy of formation = 0.479 eV per atom

abc: 4.814 4.814 4.814
angles: 99.88 99.88 131.07
Positions (direct):
Re1 0.081 0.304 0.385
Re2 0.304 0.919 0.222
Re3 0.696 0.081 0.778
Re4 0.919 0.696 0.615
Hg1 0.500 0.500 0.000

***

[6]
DFT (SCAN) results for a crystal of ReHgRh2 relaxed with PBEsol.

E = -51.17 eV per atom
Energy of formation = 0.534 eV per atom

abc: 3.998 3.998 3.773
angles: 90.00 90.00 90.00
Positions (direct):
Re1 0.000 0.000 0.000
Hg1 0.500 0.500 0.000
Rh1 0.000 0.500 0.500
Rh2 0.500 0.000 0.500

***

[7]
DFT (SCAN) results for a crystal of Re2HgRh relaxed with PBEsol.

E = -60.79 eV per atom
Energy of formation = 0.245 eV per atom

abc: 2.811 2.811 7.845
angles: 90.00 90.00 90.00
Positions (direct):
Re1 0.000 0.000 0.000
Re2 0.500 0.500 0.225
Hg1 0.500 0.500 0.719
Rh1 0.000 0.000 0.454

***

[8]
DFT (SCAN) results for a crystal of Re2HgRh relaxed with PBEsol.

E = -60.58 eV per atom
Energy of formation = 0.449 eV per atom

abc: 4.921 4.921 4.743
angles: 100.28 100.28 32.82
Positions (direct):
Re1 0.240 0.240 0.235
Re2 0.760 0.760 0.765
Hg1 0.000 0.000 0.500
Rh1 0.500 0.500 0.000

***

Looking at M_tot for the records above, in order, we have 0.00; 5.18; 0.61; 0.00; 0.00; 2.03; 0.00; 0.00 Bohr magnetons per cell.